#i
LiMoPb3: optimized geometry, PBE.

Values from the calculation:
Calculated density: 9.2 g cm⁻³

Cell lengths 5.0846, 5.0846, 5.0846 Å; angles 90.00, 90.00, 90.00 degrees
Space group Pm-3m (No. 221)
Unique sites:
Li 0.0000 0.0000 0.0000 (multiplicity 1)
Mo 0.5000 0.5000 0.5000 (multiplicity 1)
Pb 0.0000 0.0000 0.5000 (multiplicity 3)

=====

#ii
LiMoPb3: optimized geometry, PBE.

Values from the calculation:
Calculated density: 7.5 g cm⁻³

Cell lengths 5.4360, 5.4360, 5.4360 Å; angles 90.00, 90.00, 90.00 degrees
Space group Pm-3m (No. 221)
Unique sites:
Li 0.0000 0.0000 0.0000 (multiplicity 1)
Mo 0.5000 0.5000 0.5000 (multiplicity 1)
Pb 0.0000 0.5000 0.5000 (multiplicity 3)

=====

Stability verdict: #ii, ahead by 42.3 kJ/mol of atoms

=====

#i
Li2Mo2Pb: optimized geometry, PBE.

Values from the calculation:
Calculated density: 7.0 g cm⁻³

Cell lengths 3.7560, 3.7560, 13.8415 Å; angles 90.00, 90.00, 90.00 degrees
Space group I4/mmm (No. 139)
Unique sites:
Li 0.0000 0.5000 0.2500 (multiplicity 4)
Mo 0.0000 0.0000 0.0840 (multiplicity 4)
Pb 0.0000 0.0000 0.5000 (multiplicity 2)

=====

#ii
Li2Mo2Pb: optimized geometry, PBE.

Values from the calculation:
Calculated density: 7.7 g cm⁻³

Cell lengths 7.3620, 7.3620, 3.2667 Å; angles 90.00, 90.00, 90.00 degrees
Space group P4/mbm (No. 127)
Unique sites:
Li 0.1873 0.3127 0.0000 (multiplicity 4)
Mo 0.1059 0.6059 0.5000 (multiplicity 4)
Pb 0.0000 0.0000 0.5000 (multiplicity 2)

=====

Stability verdict: #ii, ahead by 29.3 kJ/mol of atoms

=====

#i
LiMoPd2: optimized geometry, PBE.

Values from the calculation:
Calculated density: 8.8 g cm⁻³

Cell lengths 2.8031, 2.8031, 26.3327 Å; angles 90.00, 90.00, 120.00 degrees
Space group R-3m (No. 166, hexagonal axes)
Unique sites:
Li 0.0000 0.0000 0.0000 (multiplicity 3)
Mo 0.0000 0.0000 0.5000 (multiplicity 3)
Pd 0.0000 0.0000 0.2521 (multiplicity 6)

=====

#ii
LiMoPd2: optimized geometry, PBE.

Values from the calculation:
Calculated density: 9.1 g cm⁻³

Cell lengths 2.8195, 2.8195, 7.2275 Å; angles 90.00, 90.00, 90.00 degrees
Space group P4/mmm (No. 123)
Unique sites:
Li 0.0000 0.0000 0.0000 (multiplicity 1)
Mo 0.0000 0.0000 0.5000 (multiplicity 1)
Pd 0.5000 0.5000 0.2360 (multiplicity 2)

=====

Stability verdict: #ii, ahead by 8.5 kJ/mol of atoms

=====

#i
LiMoPd2: optimized geometry, PBE.

Values from the calculation:
Calculated density: 8.4 g cm⁻³

Cell lengths 6.7622, 6.7622, 5.4292 Å; angles 90.00, 90.00, 90.00 degrees
Space group I-42d (No. 122)
Unique sites:
Li 0.0000 0.0000 0.0000 (multiplicity 4)
Mo 0.0000 0.0000 0.5000 (multiplicity 4)
Pd 0.2314 0.2500 0.1250 (multiplicity 8)

=====

#ii
LiMoPd2: optimized geometry, PBE.

Values from the calculation:
Calculated density: 8.8 g cm⁻³

Cell lengths 6.1996, 6.1996, 6.1996 Å; angles 90.00, 90.00, 90.00 degrees
Space group Fm-3m (No. 225)
Unique sites:
Li 0.0000 0.0000 0.0000 (multiplicity 4)
Mo 0.0000 0.0000 0.5000 (multiplicity 4)
Pd 0.2500 0.2500 0.2500 (multiplicity 8)

=====

#iii
LiMoPd2: optimized geometry, PBE.

Values from the calculation:
Calculated density: 8.7 g cm⁻³

Cell lengths 4.7120, 4.7120, 2.7250 Å; angles 90.00, 90.00, 90.00 degrees
Space group P4/mmm (No. 123)
Unique sites:
Li 0.0000 0.0000 0.0000 (multiplicity 1)
Mo 0.5000 0.5000 0.0000 (multiplicity 1)
Pd 0.0000 0.5000 0.5000 (multiplicity 2)

=====

Stability verdict: #iii, ahead by 11.3 kJ/mol of atoms